1.
K2TlZnF5 | GGA-PBE | relaxed

a b c (Å): 7.4093 7.4093 8.0087
angles (deg): 117.55 117.55 90.00
Fractional coordinates of all 18 atoms:
K  0.1772  0.3228  0.0000
K  0.8228  0.6772  0.0000
K  0.6772  0.1772  0.0000
K  0.3228  0.8228  0.0000
F  0.5000  0.5000  0.0000
F  0.7111  0.2111  0.7036
F  0.9925  0.4925  0.7036
F  0.4925  0.7111  0.7036
F  0.2111  0.9925  0.7036
F  0.2889  0.7889  0.2964
F  0.7889  0.0075  0.2964
F  0.5075  0.2889  0.2964
F  0.0000  0.0000  0.0000
F  0.0075  0.5075  0.2964
Tl  0.7500  0.7500  0.5000
Tl  0.2500  0.2500  0.5000
Zn  0.2500  0.7500  0.5000
Zn  0.7500  0.2500  0.5000

Properties
The crystal system is tetragonal. The value obtained for the formation energy (no corrections) is -21.46 eV per formula unit. Its space group is I4/mcm (140). The value obtained for the total energy is -4.0725 eV per atom.


2.
LiMg2As | GGA-PBE | relaxed

a b c (Å): 5.2533 5.2533 5.2533
angles (deg): 132.80 132.80 68.98
Fractional coordinates of all 4 atoms:
Mg  0.5000  0.5000  0.0000
Mg  0.0000  0.0000  0.0000
Li  0.7500  0.2500  0.5000
As  0.2500  0.7500  0.5000

Properties
The calculated formation energy comes out at -1.1 eV per formula unit. The crystal system is tetragonal. Its space group is I4/mmm (139). The value obtained for the total energy is -2.7138 eV per atom.


3.
KTePO2 | GGA-PBE | relaxed

a b c (Å): 4.4561 4.4561 6.5023
angles (deg): 90.00 90.00 90.00
Site moments in Bohr magnetons follow the coordinates.
Fractional coordinates of all 5 atoms:
O  0.5000  0.0000  0.0000  1.12
O  0.0000  0.5000  0.0000  1.12
Te  0.5000  0.5000  0.5000  0.22
K  0.0000  0.0000  0.0000  0.10
P  0.0000  0.0000  0.5000  0.38

Properties
The distance to the lowest polymorph of the same formula is 6.59 eV per formula unit. The crystal system is tetragonal. The value obtained for the formation energy (no corrections) is 5.07 eV per formula unit. Its space group is P4/mmm (123). The value obtained for the total energy is -2.8989 eV per atom.


4.
Mg5TlPb6 | GGA-PBE | relaxed

a b c (Å): 10.3524 4.7601 7.9458
angles (deg): 72.57 81.66 61.02
Fractional coordinates of all 12 atoms:
Mg  0.5000  0.5000  0.0000
Mg  0.5000  0.8302  0.3395
Mg  0.5000  0.1698  0.6605
Mg  0.0000  0.3304  0.3391
Mg  0.0000  0.6696  0.6609
Pb  0.2571  0.5798  0.3358
Pb  0.7284  0.7681  0.0000
Pb  0.7429  0.4202  0.6642
Pb  0.2716  0.2319  0.0000
Pb  0.2571  0.9156  0.6642
Pb  0.7429  0.0844  0.3358
Tl  0.0000  0.0000  0.0000

Properties
The calculated formation energy comes out at -0.4 eV per formula unit. The distance to the lowest polymorph of the same formula is 0.04 eV per formula unit. The crystal system is monoclinic. Its space group is C2/m (12). The value obtained for the total energy is -2.7461 eV per atom.


5.
SrCaCr2Hg | GGA-PBE | relaxed

a b c (Å): 5.6263 6.8685 5.6263
angles (deg): 90.00 90.00 90.00
Site moments in Bohr magnetons follow the coordinates.
Fractional coordinates of all 5 atoms:
Cr  0.5000  0.0000  0.0000  4.22
Cr  0.0000  0.0000  0.5000  4.10
Ca  0.0000  0.0000  0.0000  0.20
Sr  0.0000  0.5000  0.0000  0.02
Hg  0.5000  0.5000  0.5000  0.03

Properties
The calculated formation energy comes out at 7.0 eV per formula unit. The distance to the lowest polymorph of the same formula is 3.61 eV per formula unit. The crystal system is tetragonal. Its space group is P4/mmm (123). The value obtained for the total energy is -3.2539 eV per atom.


6.
CdSbI2O | GGA-PBE | relaxed

a b c (Å): 6.1875 6.1875 4.1112
angles (deg): 90.00 90.00 90.00
Fractional coordinates of all 5 atoms:
Cd  0.5000  0.5000  0.5000
Sb  0.0000  0.0000  0.0000
O  0.0000  0.0000  0.5000
I  0.5000  0.0000  0.0000
I  0.0000  0.5000  0.0000

Properties
The distance to the lowest polymorph of the same formula is 0.00 eV per formula unit. The crystal system is tetragonal. The value obtained for the formation energy (no corrections) is -1.38 eV per formula unit. Its space group is P4/mmm (123). The value obtained for the total energy is -2.8955 eV per atom.


7.
LiGdHoIn | GGA-PBE | relaxed

a b c (Å): 5.2785 5.2785 5.2785
angles (deg): 60.00 60.00 60.00
Site moments in Bohr magnetons follow the coordinates.
Fractional coordinates of all 4 atoms:
In  0.0000  0.0000  0.0000  -0.02
Ho  0.2500  0.2500  0.2500  0.15
Gd  0.7500  0.7500  0.7500  7.21
Li  0.5000  0.5000  0.5000  0.01

Properties
The calculated formation energy comes out at -1.1 eV per formula unit. The crystal system is cubic. Its space group is F-43m (216). The value obtained for the total energy is -6.0996 eV per atom.


8.
CsPuHg2Cl8 | GGA-PBE | relaxed

a b c (Å): 6.6854 7.2311 9.7141
angles (deg): 67.68 77.97 81.33
Site moments in Bohr magnetons follow the coordinates.
Fractional coordinates of all 12 atoms:
Cl  0.5569  0.7398  0.4939  -0.01
Cl  0.8736  0.2841  0.7501  0.02
Cl  0.4431  0.2602  0.5061  -0.01
Cl  0.2175  0.8069  0.8276  0.03
Cl  0.7825  0.1931  0.1724  0.03
Cl  0.3190  0.2362  0.9657  0.01
Cl  0.6810  0.7638  0.0343  0.01
Cl  0.1264  0.7159  0.2499  0.02
Cs  0.0000  0.0000  0.5000  0.00
Hg  0.5315  0.5332  0.2748  -0.01
Hg  0.4685  0.4668  0.7252  -0.01
Pu  0.0000  0.0000  0.0000  -4.99

Properties
The crystal system is triclinic. The value obtained for the formation energy (no corrections) is -14.97 eV per formula unit. Its space group is P-1 (2). The value obtained for the total energy is -3.7940 eV per atom.


9.
RbBeAgHg2 | GGA-PBE | relaxed

a b c (Å): 5.0103 5.0103 5.0294
angles (deg): 90.00 90.00 90.00
Fractional coordinates of all 5 atoms:
Hg  0.5000  0.0000  0.0000
Hg  0.0000  0.5000  0.0000
Rb  0.5000  0.5000  0.5000
Ag  0.0000  0.0000  0.5000
Be  0.0000  0.0000  0.0000

Properties
The calculated formation energy comes out at 0.4 eV per formula unit. The crystal system is tetragonal. Its space group is P4/mmm (123). The value obtained for the total energy is -1.5415 eV per atom.


10.
CaReSi2 | GGA-PBE | relaxed

a b c (Å): 4.0409 3.2566 5.4322
angles (deg): 72.59 90.00 90.00
Fractional coordinates of all 4 atoms:
Ca  0.0000  0.4665  0.4428
Si  0.5000  0.0751  0.2254
Si  0.0000  0.2020  0.9698
Re  0.5000  0.7564  0.8620

Properties
The crystal system is orthorhombic. The value obtained for the formation energy (no corrections) is 0.01 eV per formula unit. Its space group is Amm2 (38). The value obtained for the total energy is -6.3225 eV per atom.


11.
Sr2LaPt | GGA-PBE | relaxed

a b c (Å): 9.5112 9.5112 4.4806
angles (deg): 76.38 76.38 23.19
Fractional coordinates of all 4 atoms:
Sr  0.5881  0.5881  0.4119
Sr  0.9119  0.9119  0.0881
Pt  0.2500  0.2500  0.2500
La  0.7500  0.7500  0.7500

Properties
The calculated formation energy comes out at -1.9 eV per formula unit. The distance to the lowest polymorph of the same formula is 0.55 eV per formula unit. The crystal system is orthorhombic. Its space group is Immm (71). The value obtained for the total energy is -4.0521 eV per atom.


12.
LiU2PdPt5 | GGA-PBE | relaxed

a b c (Å): 7.7293 7.7293 8.0138
angles (deg): 118.83 118.83 90.00
Site moments in Bohr magnetons follow the coordinates.
Fractional coordinates of all 18 atoms:
Li  0.2500  0.2500  0.5000  0.00
Li  0.7500  0.7500  0.5000  0.00
Pd  0.7500  0.2500  0.5000  -0.01
Pd  0.2500  0.7500  0.5000  -0.01
Pt  0.6491  0.1491  0.7144  -0.02
Pt  0.8509  0.9346  0.2856  -0.02
Pt  0.4346  0.3509  0.2856  -0.02
Pt  0.9346  0.4346  0.2856  -0.02
Pt  0.5654  0.6491  0.7144  -0.02
Pt  0.1491  0.0654  0.7144  -0.02
Pt  0.5000  0.5000  0.0000  -0.03
Pt  0.0654  0.5654  0.7144  -0.02
Pt  0.0000  0.0000  0.0000  -0.03
Pt  0.3509  0.8509  0.2856  -0.02
U  0.8812  0.6188  0.0000  1.25
U  0.1188  0.3812  0.0000  1.25
U  0.3812  0.8812  0.0000  1.25
U  0.6188  0.1188  0.0000  1.25

Properties
The calculated formation energy comes out at -2.4 eV per formula unit. The crystal system is tetragonal. Its space group is I4/mcm (140). The value obtained for the total energy is -6.9202 eV per atom.